Density functional theory data (PBE) for a geometry-optimized SrLuIn structure.

Lattice parameters (Å, degrees): 3.824 3.824 7.343 105.09 105.09 90.00
Fractional coordinates of all 3 atoms:
Sr (0.015, 0.015, 0.030)
Lu (0.302, 0.302, 0.604)
In (0.683, 0.683, 0.366)

Properties
Calculated formation energy ... -0.1828 eV per atom
Symmetry ... I4mm, No. 107